(1)
# CsRbBa2 PBE-GGA optimized geometry
data_CsRbBa2
_chemical_formula_sum 'Cs1 Rb1 Ba2'
_cell_length_a 6.367
_cell_length_b 6.367
_cell_length_c 7.679
_cell_angle_alpha 90.00
_cell_angle_beta 90.00
_cell_angle_gamma 90.00
_space_group_name_H-M_alt 'P 4/m m m'
_space_group_IT_number 123
_space_group_name_Hall '-P 4 2'
loop_
_atom_site_label
_atom_site_fract_x
_atom_site_fract_y
_atom_site_fract_z
_atom_site_occupancy
Cs1 0.000 0.000 0.000 1
Rb1 0.500 0.500 0.000 1
Ba1 0.000 0.500 0.500 1
# * N(E_F): 5.20 states/eV per cell
# * ΔE to the lowest computed polymorph: 0 meV/atom
# * energy relative to the elements: 0.669 eV per formula unit
# * magnetic moment: 0.0 μB per formula unit
# * theoretical density: 2.63 g/cm3

=====

(2)
# Ta2CrAs PBE-GGA optimized geometry
data_Ta2CrAs
_chemical_formula_sum 'Ta8 Cr4 As4'
_cell_length_a 3.866
_cell_length_b 3.866
_cell_length_c 19.164
_cell_angle_alpha 90.00
_cell_angle_beta 90.00
_cell_angle_gamma 90.00
_space_group_name_H-M_alt 'I -4 2 d'
_space_group_IT_number 122
_space_group_name_Hall 'I -4 2bw'
loop_
_atom_site_label
_atom_site_fract_x
_atom_site_fract_y
_atom_site_fract_z
_atom_site_occupancy
Ta1 0.247 0.250 0.125 1
Cr1 0.000 0.000 0.500 1
As1 0.000 0.000 0.000 1
# * N(E_F): 16.81 states/eV per cell
# * energy relative to the elements: 1.847 eV per formula unit
# * magnetic moment: 2.7 μB per formula unit
# * theoretical density: 11.34 g/cm3